Record 1
DFT (PBE) results for a relaxed Tl5Pd6Au crystal.

It has space group Immm (No. 71), with a = 4.7190 Å, b = 6.7687 Å, c = 14.3052 Å, α = 90.00°, β = 90.00° and γ = 90.00°. The asymmetric unit holds Tl at (0.0000, 0.0000, 0.0000), Tl at (0.0000, 0.0000, 0.3401), Tl at (0.0000, 0.5000, 0.3297), Pd at (0.0000, 0.2500, 0.1641), Pd at (0.0000, 0.2561, 0.5000) and Au at (0.0000, 0.5000, 0.0000).

The total energy is -3.9729 eV/atom. For the formation energy, the calculation gives -0.117 eV/atom.

***

Record 2
DFT (PBE) results for a relaxed RbLiP2Rh crystal.

It has space group P4/mmm (No. 123), with a = 4.5554 Å, b = 4.5554 Å, c = 4.7458 Å, α = 90.00°, β = 90.00° and γ = 90.00°. The asymmetric unit holds Rb at (0.0000, 0.0000, 0.0000), Li at (0.0000, 0.0000, 0.5000), P at (0.0000, 0.5000, 0.5000) and Rh at (0.5000, 0.5000, 0.0000).

The total energy is -3.3804 eV/atom. For the formation energy, the calculation gives 0.830 eV/atom.

***

Record 3
DFT (PBE) results for a relaxed Rb4Ac3TlO8 crystal.

It has space group C2/m (No. 12), with a = 13.2915 Å, b = 7.5689 Å, c = 7.9541 Å, α = 90.00°, β = 123.15° and γ = 90.00°. The asymmetric unit holds Rb at (0.0000, 0.0000, 0.0000), Rb at (0.0000, 0.5000, 0.0000), Rb at (0.2500, 0.2500, 0.0000), Ac at (0.0000, 0.0000, 0.5000), Ac at (0.2500, 0.2500, 0.5000), Tl at (0.0000, 0.5000, 0.5000), O at (0.0183, 0.2622, 0.3134), O at (0.2250, 0.0000, 0.6829) and O at (0.2403, 0.5000, 0.7011).

The total energy is -5.7357 eV/atom. As for the uncorrected formation energy: -2096.4 meV/atom.

***

Record 4
DFT (PBE) results for a relaxed Tl2SeI4 crystal.

It has space group I4/mmm (No. 139), with a = 6.0756 Å, b = 6.0756 Å, c = 16.4782 Å, α = 90.00°, β = 90.00° and γ = 90.00°. The asymmetric unit holds Tl at (0.0000, 0.0000, 0.1248), Se at (0.0000, 0.0000, 0.5000), I at (0.0000, 0.0000, 0.3291) and I at (0.0000, 0.5000, 0.0000).

The total energy is -2.3416 eV/atom. As for the uncorrected formation energy: -281.9 meV/atom.

***

Record 5
DFT (PBE) results for a relaxed HoCdTeO6 crystal.

It has space group P4_2nm (No. 102), with a = 5.0308 Å, b = 5.0308 Å, c = 10.0280 Å, α = 90.00°, β = 90.00° and γ = 90.00°. The asymmetric unit holds Ho at (0.0000, 0.0000, 0.0000), Cd at (0.0000, 0.0000, 0.3305), Te at (0.0000, 0.0000, 0.6651), O at (0.1799, 0.1799, 0.8115), O at (0.1869, 0.1869, 0.5235) and O at (0.2262, 0.2262, 0.1578).

The total energy is -5.8952 eV/atom. As for the uncorrected formation energy: -1630.3 meV/atom.

***

Record 6
DFT (PBE) results for a relaxed Ba4TlIr crystal.

It has space group F-43m (No. 216), with a = 9.7504 Å, b = 9.7504 Å, c = 9.7504 Å, α = 90.00°, β = 90.00° and γ = 90.00°. The asymmetric unit holds Ba at (0.1240, 0.1240, 0.1240), Tl at (0.0000, 0.0000, 0.5000) and Ir at (0.2500, 0.2500, 0.7500).

The total energy is -2.3698 eV/atom. For the formation energy, the calculation gives 0.783 eV/atom.

***

Record 7
DFT (PBE) results for a relaxed MgTePd6 crystal.

It has space group P-1 (No. 2), with a = 5.1481 Å, b = 5.1578 Å, c = 5.1986 Å, α = 94.07°, β = 94.39° and γ = 93.99°. The asymmetric unit holds Mg at (0.0000, 0.0000, 0.0000), Te at (0.5000, 0.5000, 0.5000), Pd at (0.0581, 0.4444, 0.7517), Pd at (0.2486, 0.9403, 0.5586) and Pd at (0.4427, 0.7513, 0.0613).

The total energy is -4.7665 eV/atom. As for the uncorrected formation energy: -279.9 meV/atom.

***

Record 8
DFT (PBE) results for a relaxed CrCu2Rh crystal.

It has space group Fm-3m (No. 225), with a = 5.8564 Å, b = 5.8564 Å, c = 5.8564 Å, α = 90.00°, β = 90.00° and γ = 90.00°. The asymmetric unit holds Cr at (0.0000, 0.0000, 0.0000), Cu at (0.2500, 0.2500, 0.2500) and Rh at (0.0000, 0.0000, 0.5000).

The total energy is -5.9794 eV/atom. For the formation energy, the calculation gives 0.312 eV/atom.

***

Record 9
DFT (PBE) results for a relaxed Ac2ZrIn crystal.

It has space group P4/mmm (No. 123), with a = 3.6758 Å, b = 3.6758 Å, c = 9.9417 Å, α = 90.00°, β = 90.00° and γ = 90.00°. The asymmetric unit holds Ac at (0.0000, 0.0000, 0.2487), Zr at (0.5000, 0.5000, 0.5000) and In at (0.5000, 0.5000, 0.0000).

The total energy is -4.8437 eV/atom. For the formation energy, the calculation gives 0.032 eV/atom.

***

Record 10
DFT (PBE) results for a relaxed ZrGa2Cu crystal.

It has space group P4/mmm (No. 123), with a = 3.0959 Å, b = 3.0959 Å, c = 6.8267 Å, α = 90.00°, β = 90.00° and γ = 90.00°. The asymmetric unit holds Zr at (0.0000, 0.0000, 0.0000), Ga at (0.5000, 0.5000, 0.2896) and Cu at (0.0000, 0.0000, 0.5000).

The total energy is -4.9739 eV/atom. For the formation energy, the calculation gives -0.299 eV/atom.

***

Record 11
DFT (PBE) results for a relaxed KBeSi crystal.

It has space group P-6m2 (No. 187), with a = 3.8821 Å, b = 3.8821 Å, c = 5.4723 Å, α = 90.00°, β = 90.00° and γ = 120.00°. The asymmetric unit holds K at (0.0000, 0.0000, 0.0000), Be at (0.3333, 0.6667, 0.5000) and Si at (0.6667, 0.3333, 0.5000).

The total energy is -3.1080 eV/atom. As for the uncorrected formation energy: 307.5 meV/atom.

***

Record 12
DFT (PBE) results for a relaxed Mg2CoRe crystal.

It has space group F-43m (No. 216), with a = 6.2094 Å, b = 6.2094 Å, c = 6.2094 Å, α = 90.00°, β = 90.00° and γ = 90.00°. The asymmetric unit holds Mg at (0.0000, 0.0000, 0.0000), Mg at (0.2500, 0.2500, 0.2500), Co at (0.0000, 0.0000, 0.5000) and Re at (0.2500, 0.2500, 0.7500).

The total energy is -5.2997 eV/atom. For the formation energy, the calculation gives 0.386 eV/atom.